# 1
DFT (PBE) results for a geometry-optimized Na3GePb structure.

abc: 7.3450 7.3450 7.6328
angles: 119.30 119.30 80.58
Positions (direct):
Na  0.0562  0.0562  0.3446
Na  0.0809  0.4718  0.2297
Na  0.4718  0.0809  0.2297
Na  0.5282  0.9191  0.7703
Na  0.9191  0.5282  0.7703
Na  0.9438  0.9438  0.6554
Ge  0.2766  0.2766  0.8904
Ge  0.7234  0.7234  0.1096
Pb  0.4238  0.4238  0.6887
Pb  0.5762  0.5762  0.3113

## Properties
- ΔE_f: -0.02 eV/atom
- Total magnetic moment: 0.000 μB per atom


# 2
DFT (PBE) results for a geometry-optimized Ac2PrPb structure.

abc: 5.9720 5.9720 5.9720
angles: 60.00 60.00 60.00
Positions (direct):
Ac  0.2500  0.2500  0.2500
Ac  0.7500  0.7500  0.7500
Pr  0.0000  0.0000  0.0000
Pb  0.5000  0.5000  0.5000

## Properties
- ΔE_f: -0.09 eV/atom
- Total magnetic moment: 0.000 μB per atom


# 3
DFT (PBE) results for a geometry-optimized KInSb2Te structure.

abc: 5.7031 5.7031 5.9912
angles: 90.00 90.00 90.00
Positions (direct):
K  0.0000  0.0000  0.0000
In  0.5000  0.5000  0.5000
Sb  0.0000  0.5000  0.5000
Sb  0.5000  0.0000  0.5000
Te  0.5000  0.5000  0.0000

## Properties
- Formation energy without anion corrections: 0.18 eV per atom
- Total magnetic moment: 0.207 μB per atom


# 4
DFT (PBE) results for a geometry-optimized Co2AuCl structure.

abc: 2.9688 3.8506 6.1651
angles: 90.00 90.00 90.00
Positions (direct):
Co  0.0000  0.0000  0.1840
Co  0.0000  0.0000  0.8160
Au  0.5000  0.5000  0.0000
Cl  0.5000  0.0000  0.5000

## Properties
- Formation energy without anion corrections: 0.23 eV per atom
- Total magnetic moment: 1.021 μB per atom


# 5
DFT (PBE) results for a geometry-optimized GaFeTc2 structure.

abc: 9.3500 9.3500 9.3500
angles: 16.75 16.75 16.75
Positions (direct):
Ga  0.0000  0.0000  0.0000
Fe  0.5000  0.5000  0.5000
Tc  0.4124  0.4124  0.4124
Tc  0.5876  0.5876  0.5876

## Properties
- ΔE_f: 0.47 eV/atom
- Total magnetic moment: 0.666 μB per atom


# 6
DFT (PBE) results for a geometry-optimized YCd2Os structure.

abc: 3.1234 4.9918 5.4925
angles: 90.00 104.17 90.00
Positions (direct):
Y  0.0000  0.0000  0.0000
Cd  0.3476  0.5000  0.7282
Cd  0.6524  0.5000  0.2718
Os  0.5000  0.0000  0.5000

## Properties
- ΔE_f: 0.19 eV/atom
- Total magnetic moment: 0.114 μB per atom


> total magnetic moment of number 3 (KInSb2Te)?

0.207 μB per atom


> Number 4 is which compound?

Co2AuCl


> Among the records above, which one has the highest total magnetic moment?

Co2AuCl